# 1
DFT (GGA-PBE) results for a geometry-optimized CsTeSeBr2 structure.

```
data_CsTeSeBr2
_chemical_formula_sum 'Cs1 Te1 Se1 Br2'
_space_group_name_H-M_alt 'P 1'
_space_group_IT_number 1
_space_group_name_Hall 'P 1'
_cell_length_a 5.8285
_cell_length_b 5.8285
_cell_length_c 5.5011
_cell_angle_alpha 90.00
_cell_angle_beta 90.00
_cell_angle_gamma 90.00
loop_
_atom_site_label
_atom_site_type_symbol
_atom_site_fract_x
_atom_site_fract_y
_atom_site_fract_z
Cs1 Cs 0.0000 0.0000 0.0000
Te1 Te 0.5000 0.5000 0.5000
Se1 Se 0.5000 0.5000 0.0000
Br1 Br 0.0000 0.5000 0.5000
Br2 Br 0.5000 0.0000 0.5000
```

Calculated values
Uncorrected formation energy = -0.685 eV/atom
Magnetic moment = 0.000 μB per cell
ΔE to the lowest computed polymorph = 0.0000 eV per atom

=====

# 2
DFT (GGA-PBE) results for a geometry-optimized Cs2TeSeBr structure.

```
data_Cs2TeSeBr
_chemical_formula_sum 'Cs2 Te1 Se1 Br1'
_space_group_name_H-M_alt 'P 1'
_space_group_IT_number 1
_space_group_name_Hall 'P 1'
_cell_length_a 7.0297
_cell_length_b 7.0297
_cell_length_c 5.3061
_cell_angle_alpha 90.00
_cell_angle_beta 90.00
_cell_angle_gamma 90.00
loop_
_atom_site_label
_atom_site_type_symbol
_atom_site_fract_x
_atom_site_fract_y
_atom_site_fract_z
Cs1 Cs 0.0000 0.5000 0.0000
Cs2 Cs 0.5000 0.0000 0.0000
Te1 Te 0.0000 0.0000 0.5000
Se1 Se 0.0000 0.0000 0.0000
Br1 Br 0.5000 0.5000 0.5000
```

Calculated values
Uncorrected formation energy = -0.934 eV/atom
Magnetic moment = 0.003 μB per cell